The following is a PBEsol calculation of an optimized crystal structure of KCr2Ga2, from Alexandria.

Structure (POSCAR):
```
KCr2Ga2
1.0
-1.584 1.584 9.540
1.584 -1.584 9.540
1.584 1.584 -9.540
K Cr Ga
1 2 2
direct
0.000 0.000 0.000 K
0.250 0.750 0.500 Cr
0.750 0.250 0.500 Cr
0.362 0.362 0.000 Ga
0.638 0.638 0.000 Ga
```

Computed properties:
DFT formation energy   0.39 eV per atom
Symmetry   I4/mmm
N(E_F)   2.80 states/eV/cell
V   19.149 A^3/atom
Calculated total energy   -26.37 eV for the cell shown
Magnetization   0.00 μB/f.u.

The following is a PBEsol calculation of an optimized crystal structure of KCr2GaS, from Alexandria.

Structure (POSCAR):
```
KCr2GaS
1.0
4.647 0.000 0.000
0.000 4.647 0.000
0.000 0.000 5.679
K Cr Ga S
1 2 1 1
direct
0.000 0.000 0.000 K
0.000 0.500 0.500 Cr
0.500 0.000 0.500 Cr
0.500 0.500 0.000 Ga
0.500 0.500 0.500 S
```

Computed properties:
Symmetry   P4/mmm
N(E_F)   3.64 states/eV/cell
V   24.522 A^3/atom
Calculated total energy   -26.41 eV for the cell shown
Magnetization   8.46 μB/f.u.
Formation energy (no corrections)   13.51 kcal/mol of atoms

The following is a PBEsol calculation of an optimized crystal structure of LiNbCr2Ga, from Alexandria.

Structure (POSCAR):
```
LiNbCr2Ga
1.0
3.983 0.000 0.000
0.000 3.983 0.000
0.000 0.000 4.292
Li Nb Cr Ga
1 1 2 1
direct
0.000 0.000 0.000 Li
0.000 0.000 0.500 Nb
0.000 0.500 0.000 Cr
0.500 0.000 0.000 Cr
0.500 0.500 0.500 Ga
```

Computed properties:
DFT formation energy   1.15 eV per atom
Symmetry   P4/mmm
N(E_F)   4.54 states/eV/cell
V   13.615 A^3/atom
Calculated total energy   -30.86 eV for the cell shown
Magnetization   1.52 μB/f.u.

The following is a PBEsol calculation of an optimized crystal structure of Li4CrGa3O8, from Alexandria.

Structure (POSCAR):
```
Li4CrGa3O8
1.0
4.939 0.000 0.000
0.024 5.415 0.000
0.115 0.206 6.440
Li Cr Ga O
4 1 3 8
direct
0.000 0.000 0.000 Li
0.001 0.508 0.739 Li
0.489 0.669 0.491 Li
0.491 0.161 0.248 Li
0.990 0.002 0.500 Cr
0.503 0.668 0.991 Ga
0.506 0.176 0.754 Ga
0.998 0.495 0.239 Ga
0.370 0.023 0.524 O
0.375 0.510 0.233 O
0.397 0.502 0.758 O
0.397 0.996 0.990 O
0.879 0.653 0.999 O
0.887 0.166 0.741 O
0.888 0.672 0.467 O
0.890 0.165 0.254 O
```

Computed properties:
Symmetry   P1
N(E_F)   2.98 states/eV/cell
V   10.763 A^3/atom
Calculated total energy   -101.22 eV for the cell shown
Magnetization   3.00 μB/f.u.
Formation energy (no corrections)   -44.82 kcal/mol of atoms

The following is a PBEsol calculation of an optimized crystal structure of LiCr2GaSe, from Alexandria.

Structure (POSCAR):
```
LiCr2GaSe
1.0
4.642 0.000 0.000
0.000 4.642 0.000
0.000 0.000 4.443
Li Cr Ga Se
1 2 1 1
direct
0.000 0.000 0.000 Li
0.000 0.500 0.500 Cr
0.500 0.000 0.500 Cr
0.000 0.000 0.500 Ga
0.500 0.500 0.000 Se
```

Computed properties:
Symmetry   P4/mmm
N(E_F)   4.09 states/eV/cell
V   19.145 A^3/atom
Calculated total energy   -26.15 eV for the cell shown
Magnetization   6.87 μB/f.u.
Formation energy (no corrections)   16.11 kcal/mol of atoms

The following is a PBEsol calculation of an optimized crystal structure of MgCrGaRh2, from Alexandria.

Structure (POSCAR):
```
MgCrGaRh2
1.0
4.418 0.000 0.000
0.000 4.418 0.000
0.000 0.000 4.552
Mg Cr Ga Rh
1 1 1 2
direct
0.000 0.000 0.000 Mg
0.500 0.500 0.500 Cr
0.500 0.500 0.000 Ga
0.000 0.500 0.500 Rh
0.500 0.000 0.500 Rh
```

Computed properties:
DFT formation energy   0.54 eV per atom
Symmetry   P4/mmm
N(E_F)   3.52 states/eV/cell
V   17.769 A^3/atom
Calculated total energy   -28.90 eV for the cell shown
Magnetization   0.00 μB/f.u.

The following is a PBEsol calculation of an optimized crystal structure of Mg2CrGa3S8, from Alexandria.

Structure (POSCAR):
```
Mg2CrGa3S8
1.0
3.608 2.083 5.910
-3.608 2.083 5.910
0.000 -4.166 5.910
Mg Cr Ga S
2 1 3 8
direct
0.125 0.125 0.125 Mg
0.875 0.875 0.875 Mg
0.500 0.500 0.500 Cr
0.000 0.500 0.500 Ga
0.500 0.000 0.500 Ga
0.500 0.500 0.000 Ga
0.262 0.262 0.262 S
0.266 0.266 0.714 S
0.266 0.714 0.266 S
0.286 0.734 0.734 S
0.714 0.266 0.266 S
0.734 0.286 0.734 S
0.734 0.734 0.286 S
0.738 0.738 0.738 S
```

Computed properties:
Symmetry   R-3m
V   19.039 A^3/atom
Calculated total energy   -70.63 eV for the cell shown
Magnetization   3.00 μB/f.u.
Formation energy (no corrections)   -19.54 kcal/mol of atoms

The following is a PBEsol calculation of an optimized crystal structure of Mg2TiCrGa, from Alexandria.

Structure (POSCAR):
```
Mg2TiCrGa
1.0
5.326 0.000 0.000
0.000 5.326 0.000
0.000 0.000 4.049
Mg Ti Cr Ga
2 1 1 1
direct
0.000 0.500 0.000 Mg
0.500 0.000 0.000 Mg
0.000 0.000 0.000 Ti
0.000 0.000 0.500 Cr
0.500 0.500 0.500 Ga
```

Computed properties:
DFT formation energy   1.07 eV per atom
Symmetry   P4/mmm
N(E_F)   4.46 states/eV/cell
V   22.969 A^3/atom
Calculated total energy   -20.01 eV for the cell shown
Magnetization   1.13 μB/f.u.